[1]
# TcP2W

A geometry-optimized TcP2W structure (PBE, the Alexandria database).

Properties
density	8.42	g/cm³
total moment	0.00	Bohr magnetons per cell
formation enthalpy at 0 K	0.23	eV per atom
distance to the lowest polymorph of the same formula	0.636	eV/atom

a b c (Å): 3.1604 4.5733 9.3848
angles (deg): 90.00 90.00 90.00
With the nearest neighbours (Å) after each atom.
Sites, in units of the cell vectors:
1 Tc 0.0000 0.0000 0.0000  2 P 2.35
2 Tc 0.5000 0.5000 0.0000  2 P 2.35
3 P 0.0000 0.0000 0.4460  2 W 2.46
4 P 0.0000 0.5000 0.8152  2 Tc 2.35
5 P 0.5000 0.0000 0.8152  2 Tc 2.35
6 P 0.5000 0.5000 0.4460  2 W 2.46
7 W 0.0000 0.5000 0.2446  2 P 2.46
8 W 0.5000 0.0000 0.2446  2 P 2.46

---

[2]
# Pm5Nd2Tm12

A geometry-optimized Pm5Nd2Tm12 structure (PBE, the Alexandria database).

Properties
density	8.40	g/cm³
total moment	0.00	Bohr magnetons per cell
formation enthalpy at 0 K	0.02	eV per atom
distance to the lowest polymorph of the same formula	0.000	eV/atom

a b c (Å): 7.9311 8.6800 9.4067
angles (deg): 90.11 94.93 111.25
With the nearest neighbours (Å) after each atom.
Sites, in units of the cell vectors:
1 Pm 0.0000 0.0000 0.0000  4 Pm 3.54-3.55, 8 Tm 3.55-3.58
2 Pm 0.1585 0.0522 0.3675  9 Tm 3.53-3.57, 2 Pm 3.55-3.58, 1 Nd 3.55
3 Pm 0.2603 0.4201 0.9479  8 Tm 3.54-3.57, 2 Pm 3.54-3.59, 2 Nd 3.56-3.58
4 Pm 0.7397 0.5799 0.0521  8 Tm 3.54-3.57, 2 Pm 3.54-3.59, 2 Nd 3.56-3.58
5 Pm 0.8415 0.9478 0.6325  9 Tm 3.53-3.57, 2 Pm 3.55-3.58, 1 Nd 3.55
6 Nd 0.4208 0.4739 0.3167  1 Nd 3.54, 8 Tm 3.54-3.57, 3 Pm 3.55-3.58
7 Nd 0.5792 0.5261 0.6833  1 Nd 3.54, 8 Tm 3.54-3.57, 3 Pm 3.55-3.58
8 Tm 0.0558 0.6854 0.7874  7 Tm 3.51-3.58, 4 Pm 3.54-3.57, 1 Nd 3.57
9 Tm 0.1018 0.3683 0.5797  7 Tm 3.51-3.57, 3 Pm 3.54-3.57, 2 Nd 3.57
10 Tm 0.2128 0.7382 0.1583  7 Tm 3.52-3.58, 4 Pm 3.53-3.55, 1 Nd 3.54
11 Tm 0.3183 0.1043 0.7355  7 Tm 3.51-3.57, 4 Pm 3.55-3.58, 1 Nd 3.55
12 Tm 0.3664 0.7901 0.5272  8 Tm 3.51-3.56, 2 Pm 3.53-3.56, 2 Nd 3.55-3.56
13 Tm 0.4762 0.1569 0.1041  7 Tm 3.50-3.55, 4 Pm 3.56-3.57, 1 Nd 3.57
14 Tm 0.5238 0.8431 0.8959  7 Tm 3.50-3.55, 4 Pm 3.56-3.57, 1 Nd 3.57
15 Tm 0.6336 0.2099 0.4728  8 Tm 3.51-3.56, 2 Pm 3.53-3.56, 2 Nd 3.55-3.56
16 Tm 0.6817 0.8957 0.2645  7 Tm 3.51-3.57, 4 Pm 3.55-3.58, 1 Nd 3.55
17 Tm 0.7872 0.2618 0.8417  7 Tm 3.52-3.58, 4 Pm 3.53-3.55, 1 Nd 3.54
18 Tm 0.8982 0.6317 0.4203  7 Tm 3.51-3.57, 3 Pm 3.54-3.57, 2 Nd 3.57
19 Tm 0.9442 0.3146 0.2126  7 Tm 3.51-3.58, 4 Pm 3.54-3.57, 1 Nd 3.57

---

[3]
# Sc4BeIn

A geometry-optimized Sc4BeIn structure (PBE, the Alexandria database).

Properties
density	3.74	g/cm³
total moment	0.00	Bohr magnetons per cell
formation enthalpy at 0 K	0.43	eV per atom

a b c (Å): 5.7559 5.7559 5.7559
angles (deg): 60.00 60.00 60.00
With the nearest neighbours (Å) after each atom.
Sites, in units of the cell vectors:
1 Sc 0.1249 0.1249 0.1249  6 Sc 2.88
2 Sc 0.1249 0.1249 0.6252  6 Sc 2.88
3 Sc 0.1249 0.6252 0.1249  6 Sc 2.88
4 Sc 0.6252 0.1249 0.1249  6 Sc 2.88
5 Be 0.7500 0.7500 0.7500  12 Sc 3.37, 4 In 3.52
6 In 0.5000 0.5000 0.5000  12 Sc 3.37, 4 Be 3.52

---

[4]
# NaNpO2

A geometry-optimized NaNpO2 structure (PBE, the Alexandria database).

Properties
density	8.13	g/cm³
total moment	12.00	Bohr magnetons per cell
distance to the lowest polymorph of the same formula	0.000	eV/atom

a b c (Å): 3.4854 3.4854 17.0108
angles (deg): 90.00 90.00 120.00
With the nearest neighbours (Å) after each atom.
Sites, in units of the cell vectors:
1 Na 0.0000 0.0000 0.0000  6 O 2.57
2 Na 0.3333 0.6667 0.6667  6 O 2.57
3 Na 0.6667 0.3333 0.3333  6 O 2.57
4 Np 0.0000 0.0000 0.5000  6 O 2.36
5 Np 0.3333 0.6667 0.1667  6 O 2.36
6 Np 0.6667 0.3333 0.8333  6 O 2.36
7 O 0.0000 0.0000 0.2395  3 Np 2.36, 3 Na 2.57
8 O 0.0000 0.0000 0.7605  3 Np 2.36, 3 Na 2.57
9 O 0.3333 0.6667 0.4272  3 Np 2.36, 3 Na 2.57
10 O 0.3333 0.6667 0.9061  3 Np 2.36, 3 Na 2.57
11 O 0.6667 0.3333 0.0939  3 Np 2.36, 3 Na 2.57
12 O 0.6667 0.3333 0.5728  3 Np 2.36, 3 Na 2.57